(1)
Density functional theory data (PBE-GGA) for a geometry-optimized AuC2SF structure.

Total DFT energy (no corrections)   -3.1147 eV/atom
V   89 Å³/cell
Crystal system   tetragonal
Energy relative to the elements, uncorrected   234.5 kJ per mole of atoms
Magnetic moment   1.57 μB/cell
Density   5.062 g cm⁻³
Space-group type   P4/mmm (123)

a b c (Å): 3.6340 6.7577 3.6340
angles (deg): 90.00 90.00 90.00
Sites, in units of the cell vectors:
S1 0.0000 0.5000 0.0000
Au1 0.5000 0.5000 0.5000
C1 0.0000 0.0000 0.5000
C2 0.5000 0.0000 0.0000
F1 0.0000 0.0000 0.0000



(2)
Density functional theory data (PBE-GGA) for a geometry-optimized MnSb4W structure.

Total DFT energy (no corrections)   -5.1405 eV/atom
V   157 Å³/cell
Crystal system   cubic
Energy relative to the elements, uncorrected   124.9 kJ per mole of atoms
Magnetic moment   1.01 μB/cell
Density   7.679 g cm⁻³
Space-group type   F-43m (216)

a b c (Å): 6.0547 6.0547 6.0547
angles (deg): 60.00 60.00 60.00
Sites, in units of the cell vectors:
Mn1 0.0000 0.0000 0.0000
Sb1 0.8758 0.3747 0.3747
Sb2 0.3747 0.3747 0.8758
Sb3 0.3747 0.8758 0.3747
Sb4 0.3747 0.3747 0.3747
W1 0.7500 0.7500 0.7500



(3)
Density functional theory data (PBE-GGA) for a geometry-optimized Tb3Pm3Dy8 structure.

Total DFT energy (no corrections)   -4.5322 eV/atom
V   459 Å³/cell
Crystal system   orthorhombic
E_form   0.108 eV/atom
Magnetic moment   0.00 μB/cell
Density   8.009 g cm⁻³
Space-group type   Immm (71)

a b c (Å): 5.6525 9.6728 9.6728
angles (deg): 101.88 73.01 73.01
Sites, in units of the cell vectors:
Tb1 0.5000 0.5000 0.5000
Tb2 0.7971 0.2031 0.2031
Tb3 0.2029 0.7969 0.7969
Pm1 0.5000 0.0000 0.0000
Pm2 0.0000 0.8171 0.1829
Pm3 0.0000 0.1829 0.8171
Dy1 0.6600 0.1190 0.5608
Dy2 0.3400 0.8810 0.4392
Dy3 0.6600 0.5608 0.1190
Dy4 0.3400 0.4392 0.8810
Dy5 0.8415 0.7616 0.5557
Dy6 0.1585 0.2384 0.4443
Dy7 0.8415 0.5557 0.7617
Dy8 0.1585 0.4443 0.2383



(4)
Density functional theory data (PBE-GGA) for a geometry-optimized ErCr6Ge6 structure.

Total DFT energy (no corrections)   -7.1348 eV/atom
V   187 Å³/cell
Crystal system   hexagonal
E_form   -0.211 eV/atom
Magnetic moment   0.00 μB/cell
Density   8.146 g cm⁻³
Space-group type   P6/mmm (191)

a b c (Å): 5.0963 5.0963 8.2930
angles (deg): 90.00 90.00 120.00
Sites, in units of the cell vectors:
Er1 0.0000 0.0000 0.0000
Cr1 0.5000 0.5000 0.7500
Cr2 0.5000 0.0000 0.7500
Cr3 0.0000 0.5000 0.7500
Cr4 0.5000 0.5000 0.2500
Cr5 0.5000 0.0000 0.2500
Cr6 0.0000 0.5000 0.2500
Ge1 0.6667 0.3333 0.0000
Ge2 0.3333 0.6667 0.0000
Ge3 0.6667 0.3333 0.5000
Ge4 0.3333 0.6667 0.5000
Ge5 0.0000 0.0000 0.6544
Ge6 0.0000 0.0000 0.3456



(5)
Density functional theory data (PBE-GGA) for a geometry-optimized CsCaSbH2 structure.

Total DFT energy (no corrections)   -3.0963 eV/atom
V   147 Å³/cell
Crystal system   triclinic
E above lowest polymorph   0.041 eV per atom
Magnetic moment   0.00 μB/cell
Density   3.355 g cm⁻³
Space-group type   P1 (1)

a b c (Å): 4.4851 4.5061 7.6583
angles (deg): 106.91 96.97 90.04
Sites, in units of the cell vectors:
Cs1 0.3490 0.4841 0.7690
Ca1 0.9053 0.1992 0.2099
Sb1 0.4214 0.7420 0.2967
H1 0.6183 0.8625 0.5181
H2 0.8848 0.0532 0.9059



(6)
Density functional theory data (PBE-GGA) for a geometry-optimized Hf4Zn5Ag structure.

Total DFT energy (no corrections)   -5.0531 eV/atom
V   176 Å³/cell
Crystal system   tetragonal
E_form   -0.150 eV/atom
Magnetic moment   0.00 μB/cell
Density   10.811 g cm⁻³
Space-group type   P4/mmm (123)

a b c (Å): 3.2487 3.2487 16.7196
angles (deg): 90.00 90.00 90.00
Sites, in units of the cell vectors:
Hf1 0.0000 0.0000 0.1943
Hf2 0.0000 0.0000 0.3994
Hf3 0.0000 0.0000 0.6006
Hf4 0.0000 0.0000 0.8057
Zn1 0.5000 0.5000 0.0915
Zn2 0.5000 0.5000 0.2986
Zn3 0.5000 0.5000 0.5000
Zn4 0.5000 0.5000 0.7014
Zn5 0.5000 0.5000 0.9085
Ag1 0.0000 0.0000 0.0000



(7)
Density functional theory data (PBE-GGA) for a geometry-optimized CsRb2I structure.

Total DFT energy (no corrections)   -1.6608 eV/atom
V   282 Å³/cell
Crystal system   tetragonal
Energy relative to the elements, uncorrected   -55.6 kJ per mole of atoms
E above lowest polymorph   0.116 eV per atom
Magnetic moment   0.00 μB/cell
Density   2.537 g cm⁻³
Space-group type   P4/mmm (123)

a b c (Å): 7.7368 6.0371 6.0371
angles (deg): 90.00 90.00 90.00
Sites, in units of the cell vectors:
Cs1 0.5000 0.0000 0.0000
I1 0.5000 0.5000 0.5000
Rb1 0.0000 0.0000 0.5000
Rb2 0.0000 0.5000 0.0000